No. 1
6
Lattice="-2.6831 -3.3065 -3.9085 1.0433 -5.6821 -0.1830 -4.0704 -3.7414 1.6856" Properties=species:S:1:pos:R:3 comment="Ga4SbPb GGA-PBE optimized geometry" total_magnetization_mub_per_cell=0.00 pbc="T T T"
Ga -3.5685 -7.9555 -1.5035
Ga -2.2276 -6.3030 0.4498
Ga -1.5343 -6.0856 -2.3460
Ga -4.0899 -5.1158 -1.4120
Pb 0.0000 0.0000 0.0000
Sb -1.4275 -3.1825 -0.6015

---

No. 2
19
Lattice="9.6187 0.0000 0.0000 -4.8094 8.1317 -0.4279 0.0000 0.4900 8.2137" Properties=species:S:1:pos:R:3 comment="Pm12Dy5Th2 GGA-PBE optimized geometry" total_magnetization_mub_per_cell=0.00 e_form_ev_per_atom=0.15 e_above_lowest_polymorph_ev_per_atom=0.028 pbc="T T T"
Dy 4.8094 4.2908 3.6721
Dy 0.0000 0.2450 4.1069
Dy 0.0000 5.8315 0.2432
Dy 4.8094 2.7902 7.5426
Dy 0.0000 4.3309 4.1138
Th 7.5174 0.0000 0.0000
Th 2.1014 0.0000 0.0000
Pm 4.8094 0.9247 2.2886
Pm -2.7212 5.5083 6.1655
Pm 6.9620 2.0479 4.9927
Pm 7.5305 3.1135 1.6204
Pm 0.0000 3.0532 7.0498
Pm 2.7212 5.5083 6.1655
Pm -2.1527 6.5738 2.7931
Pm 2.6567 2.0479 4.9927
Pm 0.0000 7.6970 5.4973
Pm 2.1526 6.5738 2.7931
Pm 2.0882 3.1135 1.6204
Pm 4.8094 5.5686 0.7361

---

No. 3
6
Lattice="-0.9663 -2.1522 3.3185 9.0867 -1.1524 1.8985 -0.0197 2.4091 1.5567" Properties=species:S:1:pos:R:3 comment="SiHgMo GGA-PBE optimized geometry" total_magnetization_mub_per_cell=0.00 e_above_lowest_polymorph_ev_per_atom=0.057 pbc="T T T"
Si 3.0951 0.8108 1.4271
Si 5.4986 -1.8347 2.9090
Hg 0.4141 0.0134 2.6271
Hg 8.1796 -1.0374 1.7090
Mo 5.5323 0.5017 1.9363
Mo 3.0614 -1.5256 2.3998

---

These records have calculated density values of 7.39, 7.77, 9.87 g/cm³, in the order they appear.
These records have uncorrected energy values of -3.24, -4.84, -5.44 eV per atom, in the order they appear.